# Ce2HgCl PBE-GGA optimized geometry
# Formation energy without anion corrections, eV/atom: -0.74
# Excess energy over the best structure of this formula in the dataset, eV per atom: 0.031
data_Ce2HgCl
_cell_length_a 3.9671
_cell_length_b 3.9671
_cell_length_c 23.7261
_cell_angle_alpha 90.00
_cell_angle_beta 90.00
_cell_angle_gamma 120.00
_space_group_name_H-M_alt 'R 3 m'
_space_group_IT_number 160
_space_group_name_Hall 'R 3 -2"'
loop_
_atom_site_label
_atom_site_type_symbol
_atom_site_fract_x
_atom_site_fract_y
_atom_site_fract_z
Ce1 Ce 0.0000 0.0000 0.0000
Ce2 Ce 0.0000 0.0000 0.1934
Hg1 Hg 0.0000 0.0000 0.4294
Cl1 Cl 0.0000 0.0000 0.5972